ScNi4Pt | PBEsol | relaxed

## Properties
**SG**: F-43m
**Energy**: -40.89 eV for the cell shown
**DFT formation energy**: -0.45 eV/atom

a = 4.712 Å, b = 4.712 Å, c = 4.712 Å
α = 60.00°, β = 60.00°, γ = 60.00°
Fractional positions:
Sc  0.000  0.000  0.000
Ni  0.376  0.376  0.376
Ni  0.376  0.376  0.873
Ni  0.376  0.873  0.376
Ni  0.873  0.376  0.376
Pt  0.750  0.750  0.750